No. 1
First-principles (PBE-GGA) data for a relaxed Ac3SnGe2Pt6 crystal, as listed in Alexandria via LeMat-Bulk. Values from VASP.

Summary:
Magnetic moment ... 0.000 μB per formula unit
E ... -6.01 eV per atom
Calculated volume ... 292.06 Å³/cell
Calculated formation energy ... -855 meV per atom

Quantum ESPRESSO input file:
```
&SYSTEM
  ibrav = 0, nat = 12, ntyp = 4
/
ATOMIC_SPECIES
Pt 195.08 Pt.upf
Ge 72.64 Ge.upf
Ac 227.00 Ac.upf
Sn 118.71 Sn.upf
ATOMIC_POSITIONS angstrom
Pt 0.822 1.205 8.286
Pt -0.708 -1.251 8.290
Pt -2.785 -1.698 4.088
Pt -0.196 -1.608 2.798
Pt -1.727 -4.065 2.802
Pt 1.881 -1.161 7.001
Ge 1.489 -0.914 9.479
Ge -2.394 -1.946 1.609
Ac 0.000 0.000 0.000
Ac -0.787 0.498 5.007
Ac -0.118 -3.357 6.082
Sn 2.160 -1.339 4.243
CELL_PARAMETERS angstrom
-2.137 4.775 2.594
-3.087 -4.956 0.007
4.320 -2.678 8.487
```


No. 2
First-principles (PBE-GGA) data for a relaxed CsBe2AgF6 crystal, as listed in Alexandria via LeMat-Bulk. Values from VASP.

Summary:
Magnetic moment ... 0.000 μB per formula unit
E ... -4.97 eV per atom
Calculated volume ... 314.31 Å³/cell
Formation energy from raw total energies ... -27.4 eV per formula unit

Quantum ESPRESSO input file:
```
&SYSTEM
  ibrav = 0, nat = 20, ntyp = 4
/
ATOMIC_SPECIES
Cs 132.91 Cs.upf
F 19.00 F.upf
Be 9.01 Be.upf
Ag 107.87 Ag.upf
ATOMIC_POSITIONS angstrom
Cs 2.578 -5.006 -3.079
Cs -4.221 -5.748 0.304
F 2.428 -7.779 -1.931
F -4.071 -2.976 -0.844
F -0.403 -1.579 -1.070
F -0.098 -3.078 1.038
F -1.240 -9.176 -1.705
F 0.294 -4.037 -1.306
F -1.320 -5.332 1.147
F -1.545 -7.677 -3.813
F -1.937 -6.717 -1.469
F -0.323 -5.423 -3.922
F 3.056 -5.201 0.041
F -4.699 -5.554 -2.816
Be -0.962 -4.082 1.991
Be 0.511 -2.773 -0.437
Be -0.681 -6.672 -4.766
Be -2.154 -7.982 -2.338
Ag 0.467 -6.248 -0.537
Ag -2.110 -4.507 -2.238
CELL_PARAMETERS angstrom
-6.628 -3.293 -2.509
4.541 -4.482 -4.512
0.444 -2.979 4.247
```


No. 3
First-principles (PBE-GGA) data for a relaxed CdGa3Se crystal, as listed in Alexandria via LeMat-Bulk. Values from VASP.

Summary:
E above lowest polymorph ... 0.048 eV/atom
Magnetic moment ... 0.000 μB per formula unit
E ... -2.33 eV per atom
Calculated volume ... 149.56 Å³/cell
Formation energy from raw total energies ... 1.8 eV per formula unit

Quantum ESPRESSO input file:
```
&SYSTEM
  ibrav = 0, nat = 5, ntyp = 3
/
ATOMIC_SPECIES
Ga 69.72 Ga.upf
Se 78.96 Se.upf
Cd 112.41 Cd.upf
ATOMIC_POSITIONS angstrom
Ga 1.688 -1.388 1.506
Ga -0.708 1.436 2.117
Ga -1.922 -1.748 0.544
Se 0.000 0.000 0.000
Cd -0.942 -1.699 4.166
CELL_PARAMETERS angstrom
-3.844 -3.495 1.087
3.376 -2.776 3.012
-1.415 2.873 4.233
```


No. 4
First-principles (PBE-GGA) data for a relaxed Na3Tm3PaS8 crystal, as listed in Alexandria via LeMat-Bulk. Values from VASP.

Summary:
Magnetic moment ... 1.037 μB per formula unit
E ... -5.78 eV per atom
Calculated volume ... 364.00 Å³/cell
Formation energy from raw total energies ... -26.7 eV per formula unit

Quantum ESPRESSO input file:
```
&SYSTEM
  ibrav = 0, nat = 15, ntyp = 4
/
ATOMIC_SPECIES
S 32.06 S.upf
Tm 168.93 Tm.upf
Na 22.99 Na.upf
Pa 231.04 Pa.upf
ATOMIC_POSITIONS angstrom
S 1.980 -0.060 5.941
S 3.499 1.814 2.807
S 1.134 -2.989 3.761
S -1.587 -1.210 6.000
S 4.694 -1.844 3.685
S 6.220 0.036 0.568
S 2.654 -1.115 0.627
S -0.061 0.669 2.883
Tm 2.317 -0.587 3.284
Tm 3.846 1.296 0.161
Tm -0.409 1.194 5.527
Na 0.000 0.000 0.000
Na 2.726 -1.782 -2.243
Na 1.197 -3.665 0.880
Pa 1.120 3.078 2.404
CELL_PARAMETERS angstrom
-3.058 -3.766 6.246
5.452 -3.564 -4.487
2.240 6.155 4.808
```


No. 5
First-principles (PBE-GGA) data for a relaxed CsAs2Rh crystal, as listed in Alexandria via LeMat-Bulk. Values from VASP.

Summary:
E above lowest polymorph ... 0.256 eV/atom
Magnetic moment ... 0.000 μB per formula unit
E ... -4.49 eV per atom
Calculated volume ... 93.85 Å³/cell
Calculated formation energy ... -117 meV per atom

Quantum ESPRESSO input file:
```
&SYSTEM
  ibrav = 0, nat = 4, ntyp = 3
/
ATOMIC_SPECIES
Rh 102.91 Rh.upf
As 74.92 As.upf
Cs 132.91 Cs.upf
ATOMIC_POSITIONS angstrom
Rh 1.704 1.704 0.000
As 0.000 0.000 1.260
As 0.000 0.000 6.822
Cs 1.704 1.704 4.041
CELL_PARAMETERS angstrom
3.408 0.000 0.000
0.000 3.408 0.000
0.000 0.000 8.082
```


No. 6
First-principles (PBE-GGA) data for a relaxed Na2SiTeW crystal, as listed in Alexandria via LeMat-Bulk. Values from VASP.

Summary:
Magnetic moment ... 4.604 μB per formula unit
E ... -3.38 eV per atom
Calculated volume ... 153.42 Å³/cell
Formation energy from raw total energies ... 7.3 eV per formula unit

Quantum ESPRESSO input file:
```
&SYSTEM
  ibrav = 0, nat = 5, ntyp = 4
/
ATOMIC_SPECIES
Na 22.99 Na.upf
Te 127.60 Te.upf
Si 28.09 Si.upf
W 183.84 W.upf
ATOMIC_POSITIONS angstrom
Na 2.708 0.000 0.000
Na 0.000 0.000 2.708
Te 0.000 2.614 0.000
Si 0.000 0.000 0.000
W 2.708 2.614 2.708
CELL_PARAMETERS angstrom
5.417 0.000 0.000
0.000 5.229 0.000
0.000 0.000 5.417
```


No. 7
First-principles (PBE-GGA) data for a relaxed YScMn crystal, as listed in Alexandria via LeMat-Bulk. Values from VASP.

Summary:
E above lowest polymorph ... 0.318 eV/atom
Magnetic moment ... 1.811 μB per formula unit
E ... -6.89 eV per atom
Calculated volume ... 74.29 Å³/cell
Calculated formation energy ... 433 meV per atom

Quantum ESPRESSO input file:
```
&SYSTEM
  ibrav = 0, nat = 3, ntyp = 3
/
ATOMIC_SPECIES
Mn 54.94 Mn.upf
Sc 44.96 Sc.upf
Y 88.91 Y.upf
ATOMIC_POSITIONS angstrom
Mn 7.078 4.086 2.890
Sc 0.000 0.000 0.000
Y 4.719 2.724 1.926
CELL_PARAMETERS angstrom
4.719 0.000 0.000
2.359 4.086 0.000
2.359 1.362 3.853
```


No. 8
First-principles (PBE-GGA) data for a relaxed Ca3Pm2Pr6 crystal, as listed in Alexandria via LeMat-Bulk. Values from VASP.

Summary:
Magnetic moment ... 0.000 μB per formula unit
E ... -3.98 eV per atom
Calculated volume ... 406.41 Å³/cell
Calculated formation energy ... 40 meV per atom

Quantum ESPRESSO input file:
```
&SYSTEM
  ibrav = 0, nat = 11, ntyp = 3
/
ATOMIC_SPECIES
Ca 40.08 Ca.upf
Pm 145.00 Pm.upf
Pr 140.91 Pr.upf
ATOMIC_POSITIONS angstrom
Ca 0.000 0.000 0.000
Ca 0.341 -4.620 4.756
Ca 2.887 -17.832 21.864
Pm 2.577 -13.278 17.235
Pm 0.651 -9.175 9.385
Pr 4.193 -12.825 20.454
Pr 2.287 -8.766 12.688
Pr -0.965 -9.627 6.166
Pr 0.941 -13.686 13.933
Pr -1.320 -4.976 1.352
Pr 4.548 -17.476 25.269
CELL_PARAMETERS angstrom
-3.092 -2.046 -0.311
0.110 -3.285 -1.744
6.210 -17.122 28.675
```


No. 9
First-principles (PBE-GGA) data for a relaxed Ba2Zn2Pd crystal, as listed in Alexandria via LeMat-Bulk. Values from VASP.

Summary:
E above lowest polymorph ... 0.199 eV/atom
Magnetic moment ... 0.000 μB per formula unit
E ... -2.50 eV per atom
Calculated volume ... 285.56 Å³/cell
Calculated formation energy ... -178 meV per atom

Quantum ESPRESSO input file:
```
&SYSTEM
  ibrav = 0, nat = 10, ntyp = 3
/
ATOMIC_SPECIES
Zn 65.41 Zn.upf
Ba 137.33 Ba.upf
Pd 106.42 Pd.upf
ATOMIC_POSITIONS angstrom
Zn 6.569 4.679 0.000
Zn 2.820 6.569 0.000
Zn 0.930 2.820 0.000
Zn 4.679 0.930 0.000
Ba 2.352 1.397 2.539
Ba 5.147 6.102 2.539
Ba 6.102 2.352 2.539
Ba 1.397 5.147 2.539
Pd 3.750 3.750 0.000
Pd 0.000 0.000 0.000
CELL_PARAMETERS angstrom
7.499 0.000 0.000
0.000 7.499 0.000
0.000 0.000 5.078
```


No. 10
First-principles (PBE-GGA) data for a relaxed BaLi6Bi4 crystal, as listed in Alexandria via LeMat-Bulk. Values from VASP.

Summary:
Magnetic moment ... 0.000 μB per formula unit
E ... -3.11 eV per atom
Calculated volume ... 277.54 Å³/cell
Calculated formation energy ... -479 meV per atom

Quantum ESPRESSO input file:
```
&SYSTEM
  ibrav = 0, nat = 11, ntyp = 3
/
ATOMIC_SPECIES
Li 6.94 Li.upf
Bi 208.98 Bi.upf
Ba 137.33 Ba.upf
ATOMIC_POSITIONS angstrom
Li 2.390 0.000 3.077
Li 2.390 -1.429 5.553
Li 0.000 4.094 0.490
Li 2.390 1.429 5.553
Li 0.000 5.717 3.301
Li 0.000 2.471 3.301
Bi 2.390 5.805 1.376
Bi 2.390 2.383 1.376
Bi 2.390 4.094 4.340
Bi 0.000 0.000 4.728
Ba 0.000 0.000 0.000
CELL_PARAMETERS angstrom
4.780 0.000 0.000
0.000 8.188 0.000
0.000 -4.094 7.091
```


No. 11
First-principles (PBE-GGA) data for a relaxed CeTm2F11 crystal, as listed in Alexandria via LeMat-Bulk. Values from VASP.

Summary:
Magnetic moment ... 1.106 μB per formula unit
E ... -6.21 eV per atom
Calculated volume ... 460.96 Å³/cell
Formation energy from raw total energies ... -51.4 eV per formula unit

Quantum ESPRESSO input file:
```
&SYSTEM
  ibrav = 0, nat = 28, ntyp = 3
/
ATOMIC_SPECIES
F 19.00 F.upf
Ce 140.12 Ce.upf
Tm 168.93 Tm.upf
ATOMIC_POSITIONS angstrom
F 1.585 1.435 7.801
F 9.754 6.068 9.695
F 0.000 0.000 0.000
F 3.528 2.143 5.830
F 7.228 5.314 9.021
F 9.171 6.022 7.050
F 5.572 2.270 9.023
F 6.614 7.249 6.847
F 8.241 3.321 7.078
F 3.070 2.316 10.059
F 2.515 4.136 7.773
F 1.355 0.408 2.546
F 1.002 1.389 5.156
F 9.401 7.050 12.305
F 4.142 0.208 8.004
F 7.203 3.497 11.002
F 5.378 3.729 7.426
F 4.905 1.585 3.188
F 7.686 5.141 4.792
F 3.553 3.960 3.849
F 5.851 5.872 11.663
F 5.184 5.187 5.828
Ce 8.067 5.593 11.138
Ce 2.689 1.864 3.713
Tm 3.631 2.302 7.979
Tm 7.125 5.155 6.872
Tm 6.890 1.404 10.598
Tm 3.866 6.053 4.253
CELL_PARAMETERS angstrom
7.272 0.000 3.791
3.319 7.480 2.504
0.164 -0.023 8.557
```


No. 12
First-principles (PBE-GGA) data for a relaxed Rb2Tl3In2 crystal, as listed in Alexandria via LeMat-Bulk. Values from VASP.

Summary:
Magnetic moment ... 0.000 μB per formula unit
E ... -2.14 eV per atom
Calculated volume ... 268.76 Å³/cell
Calculated formation energy ... -68 meV per atom

Quantum ESPRESSO input file:
```
&SYSTEM
  ibrav = 0, nat = 7, ntyp = 3
/
ATOMIC_SPECIES
Tl 204.38 Tl.upf
Rb 85.47 Rb.upf
In 114.82 In.upf
ATOMIC_POSITIONS angstrom
Tl -1.894 1.305 -0.862
Tl -3.275 5.872 2.086
Tl -5.803 4.338 5.316
Rb -3.181 2.138 3.226
Rb -5.897 8.071 4.176
In -3.623 3.829 -0.240
In -5.455 6.380 7.642
CELL_PARAMETERS angstrom
-3.787 2.610 -1.725
-5.380 0.097 4.964
0.089 7.503 4.162
```